# meta-GGA SCAN BaCaAl4, single point on PBEsol structure
data_BaCaAl4
_chemical_formula_sum 'Ba4 Ca4 Al16'
_cell_length_a 8.203
_cell_length_b 8.203
_cell_length_c 8.203
_cell_angle_alpha 90.00
_cell_angle_beta 90.00
_cell_angle_gamma 90.00
_symmetry_space_group_name_H-M 'F -4 3 m'
_symmetry_Int_Tables_number 216
_symmetry_space_group_name_Hall 'F -4 2 3'
loop_
_atom_site_label
_atom_site_fract_x
_atom_site_fract_y
_atom_site_fract_z
Ba1 0.000 0.000 0.000
Ca1 0.250 0.250 0.250
Al1 0.125 0.125 0.625
# - VASP energy (eV/atom) = -13.59
# - formation enthalpy at 0 K (eV/atom) = -0.221

# meta-GGA SCAN BaCa2Al2, single point on PBEsol structure
data_BaCa2Al2
_chemical_formula_sum 'Ba2 Ca4 Al4'
_cell_length_a 9.325
_cell_length_b 9.325
_cell_length_c 3.397
_cell_angle_alpha 90.00
_cell_angle_beta 90.00
_cell_angle_gamma 90.00
_symmetry_space_group_name_H-M 'P 4/m b m'
_symmetry_Int_Tables_number 127
_symmetry_space_group_name_Hall '-P 4 2ab'
loop_
_atom_site_label
_atom_site_fract_x
_atom_site_fract_y
_atom_site_fract_z
Ba1 0.000 0.000 0.000
Ca1 0.127 0.373 0.000
Al1 0.170 0.670 0.500
# - VASP energy (eV/atom) = -15.01
# - formation enthalpy at 0 K (eV/atom) = -0.131

# meta-GGA SCAN BaCaAlF7, single point on PBEsol structure
data_BaCaAlF7
_chemical_formula_sum 'Ba4 Ca4 Al4 F28'
_cell_length_a 5.338
_cell_length_b 5.358
_cell_length_c 19.298
_cell_angle_alpha 90.00
_cell_angle_beta 103.76
_cell_angle_gamma 90.00
_symmetry_space_group_name_H-M 'P 1 2/c 1'
_symmetry_Int_Tables_number 13
loop_
_symmetry_equiv_pos_as_xyz
'x,y,z'
'-x,-y,-z'
'-x,y,-z+1/2'
'x,-y,z+1/2'
loop_
_atom_site_label
_atom_site_fract_x
_atom_site_fract_y
_atom_site_fract_z
Ba1 0.182 0.240 0.433
Ca1 0.000 0.321 0.750
Ca2 0.500 0.206 0.250
Al1 0.319 0.226 0.619
F1 0.003 0.282 0.560
F2 0.157 0.029 0.675
F3 0.225 0.363 0.308
F4 0.260 0.485 0.674
F5 0.341 0.048 0.065
F6 0.383 0.137 0.818
F7 0.466 0.408 0.564
# - VASP energy (eV/atom) = -12.25
# - formation energy without anion corrections (meV per atom) = -4079

# meta-GGA SCAN Ba2AlCd, single point on PBEsol structure
data_Ba2AlCd
_chemical_formula_sum 'Ba2 Al1 Cd1'
_cell_length_a 4.089
_cell_length_b 4.089
_cell_length_c 8.295
_cell_angle_alpha 90.00
_cell_angle_beta 90.00
_cell_angle_gamma 90.00
_symmetry_space_group_name_H-M 'P 4/m m m'
_symmetry_Int_Tables_number 123
_symmetry_space_group_name_Hall '-P 4 2'
loop_
_atom_site_label
_atom_site_fract_x
_atom_site_fract_y
_atom_site_fract_z
Ba1 0.000 0.000 0.242
Al1 0.500 0.500 0.000
Cd1 0.500 0.500 0.500
# - VASP energy (eV/atom) = -29.51
# - formation enthalpy at 0 K (eV/atom) = -0.197

# meta-GGA SCAN Ba2AlCd, single point on PBEsol structure
data_Ba2AlCd
_chemical_formula_sum 'Ba2 Al1 Cd1'
_cell_length_a 3.936
_cell_length_b 5.624
_cell_length_c 6.082
_cell_angle_alpha 90.00
_cell_angle_beta 90.00
_cell_angle_gamma 90.00
_symmetry_space_group_name_H-M 'P m m 2'
_symmetry_Int_Tables_number 25
loop_
_symmetry_equiv_pos_as_xyz
'x,y,z'
'-x,-y,z'
'-x,y,z'
'x,-y,z'
loop_
_atom_site_label
_atom_site_fract_x
_atom_site_fract_y
_atom_site_fract_z
Ba1 0.000 0.000 0.000
Ba2 0.000 0.500 0.408
Al1 0.500 0.000 0.530
Cd1 0.500 0.500 0.872
# - VASP energy (eV/atom) = -29.51
# - formation enthalpy at 0 K (eV/atom) = -0.198

# meta-GGA SCAN Ba2AlCd, single point on PBEsol structure
data_Ba2AlCd
_chemical_formula_sum 'Ba4 Al2 Cd2'
_cell_length_a 4.078
_cell_length_b 5.751
_cell_length_c 11.357
_cell_angle_alpha 90.00
_cell_angle_beta 90.00
_cell_angle_gamma 90.00
_symmetry_space_group_name_H-M 'I m m 2'
_symmetry_Int_Tables_number 44
loop_
_symmetry_equiv_pos_as_xyz
'x,y,z'
'-x,-y,z'
'-x,y,z'
'x,-y,z'
'x+1/2,y+1/2,z+1/2'
'-x+1/2,-y+1/2,z+1/2'
'-x+1/2,y+1/2,z+1/2'
'x+1/2,-y+1/2,z+1/2'
loop_
_atom_site_label
_atom_site_fract_x
_atom_site_fract_y
_atom_site_fract_z
Ba1 0.000 0.000 0.000
Ba2 0.000 0.500 0.188
Al1 0.000 0.000 0.429
Cd1 0.000 0.500 0.767
# - VASP energy (eV/atom) = -29.55
# - formation enthalpy at 0 K (eV/atom) = -0.229

# meta-GGA SCAN Ba2AlCl, single point on PBEsol structure
data_Ba2AlCl
_chemical_formula_sum 'Ba8 Al4 Cl4'
_cell_length_a 8.201
_cell_length_b 8.201
_cell_length_c 8.201
_cell_angle_alpha 90.00
_cell_angle_beta 90.00
_cell_angle_gamma 90.00
_symmetry_space_group_name_H-M 'F m -3 m'
_symmetry_Int_Tables_number 225
_symmetry_space_group_name_Hall '-F 4 2 3'
loop_
_atom_site_label
_atom_site_fract_x
_atom_site_fract_y
_atom_site_fract_z
Ba1 0.250 0.250 0.250
Al1 0.000 0.000 0.000
Cl1 0.000 0.000 0.500
# - VASP energy (eV/atom) = -24.52
# - formation energy without anion corrections (meV per atom) = -813

# meta-GGA SCAN BaAlCl, single point on PBEsol structure
data_BaAlCl
_chemical_formula_sum 'Ba2 Al2 Cl2'
_cell_length_a 4.315
_cell_length_b 4.315
_cell_length_c 10.530
_cell_angle_alpha 90.00
_cell_angle_beta 90.00
_cell_angle_gamma 90.00
_symmetry_space_group_name_H-M 'I 4 m m'
_symmetry_Int_Tables_number 107
_symmetry_space_group_name_Hall 'I 4 -2'
loop_
_atom_site_label
_atom_site_fract_x
_atom_site_fract_y
_atom_site_fract_z
Ba1 0.000 0.000 0.000
Al1 0.000 0.000 0.676
Cl1 0.000 0.000 0.438
# - VASP energy (eV/atom) = -19.20
# - formation energy without anion corrections (meV per atom) = -769

# meta-GGA SCAN BaAl2Cl8, single point on PBEsol structure
data_BaAl2Cl8
_chemical_formula_sum 'Ba2 Al4 Cl16'
_cell_length_a 8.128
_cell_length_b 7.063
_cell_length_c 12.408
_cell_angle_alpha 90.00
_cell_angle_beta 100.83
_cell_angle_gamma 90.00
_symmetry_space_group_name_H-M 'P 1 2/c 1'
_symmetry_Int_Tables_number 13
loop_
_symmetry_equiv_pos_as_xyz
'x,y,z'
'-x,-y,-z'
'-x,y,-z+1/2'
'x,-y,z+1/2'
loop_
_atom_site_label
_atom_site_fract_x
_atom_site_fract_y
_atom_site_fract_z
Ba1 0.000 0.151 0.250
Al1 0.198 0.271 0.941
Cl1 0.064 0.203 0.603
Cl2 0.250 0.456 0.378
Cl3 0.275 0.277 0.116
Cl4 0.329 0.053 0.870
# - VASP energy (eV/atom) = -12.86
# - formation energy without anion corrections (meV per atom) = -2052

# meta-GGA SCAN BaAl2Cl, single point on PBEsol structure
data_BaAl2Cl
_chemical_formula_sum 'Ba4 Al8 Cl4'
_cell_length_a 5.826
_cell_length_b 5.937
_cell_length_c 13.459
_cell_angle_alpha 90.00
_cell_angle_beta 90.00
_cell_angle_gamma 90.00
_symmetry_space_group_name_H-M 'F m m m'
_symmetry_Int_Tables_number 69
_symmetry_space_group_name_Hall '-F 2 2'
loop_
_atom_site_label
_atom_site_fract_x
_atom_site_fract_y
_atom_site_fract_z
Ba1 0.000 0.000 0.000
Al1 0.000 0.250 0.250
Cl1 0.000 0.000 0.500
# - VASP energy (eV/atom) = -16.32
# - formation energy without anion corrections (meV per atom) = -560

# meta-GGA SCAN Ba2AlCl, single point on PBEsol structure
data_Ba2AlCl
_chemical_formula_sum 'Ba8 Al4 Cl4'
_cell_length_a 8.005
_cell_length_b 8.005
_cell_length_c 8.005
_cell_angle_alpha 90.00
_cell_angle_beta 90.00
_cell_angle_gamma 90.00
_symmetry_space_group_name_H-M 'F -4 3 m'
_symmetry_Int_Tables_number 216
_symmetry_space_group_name_Hall 'F -4 2 3'
loop_
_atom_site_label
_atom_site_fract_x
_atom_site_fract_y
_atom_site_fract_z
Ba1 0.000 0.000 0.000
Ba2 0.250 0.250 0.250
Al1 0.000 0.000 0.500
Cl1 0.250 0.250 0.750
# - VASP energy (eV/atom) = -24.00
# - formation energy without anion corrections (meV per atom) = -289

# meta-GGA SCAN BaAlP2Cl, single point on PBEsol structure
data_BaAlP2Cl
_chemical_formula_sum 'Ba1 Al1 P2 Cl1'
_cell_length_a 5.391
_cell_length_b 5.391
_cell_length_c 15.080
_cell_angle_alpha 90.00
_cell_angle_beta 90.00
_cell_angle_gamma 90.00
_symmetry_space_group_name_H-M 'P 4/m m m'
_symmetry_Int_Tables_number 123
_symmetry_space_group_name_Hall '-P 4 2'
loop_
_atom_site_label
_atom_site_fract_x
_atom_site_fract_y
_atom_site_fract_z
Ba1 0.000 0.000 0.000
Al1 0.000 0.000 0.500
P1 0.000 0.500 0.000
Cl1 0.500 0.500 0.500
# - VASP energy (eV/atom) = -14.06
# - formation energy without anion corrections (meV per atom) = 1159

# meta-GGA SCAN BaAl3Co, single point on PBEsol structure
data_BaAl3Co
_chemical_formula_sum 'Ba1 Al3 Co1'
_cell_length_a 4.641
_cell_length_b 4.641
_cell_length_c 4.641
_cell_angle_alpha 90.00
_cell_angle_beta 90.00
_cell_angle_gamma 90.00
_symmetry_space_group_name_H-M 'P m -3 m'
_symmetry_Int_Tables_number 221
_symmetry_space_group_name_Hall '-P 4 2 3'
loop_
_atom_site_label
_atom_site_fract_x
_atom_site_fract_y
_atom_site_fract_z
Ba1 0.000 0.000 0.000
Al1 0.000 0.500 0.500
Co1 0.500 0.500 0.500
# - VASP energy (eV/atom) = -16.27
# - formation enthalpy at 0 K (eV/atom) = -0.247

# meta-GGA SCAN BaAlCo2, single point on PBEsol structure
data_BaAlCo2
_chemical_formula_sum 'Ba4 Al4 Co8'
_cell_length_a 6.742
_cell_length_b 6.742
_cell_length_c 6.742
_cell_angle_alpha 90.00
_cell_angle_beta 90.00
_cell_angle_gamma 90.00
_symmetry_space_group_name_H-M 'F -4 3 m'
_symmetry_Int_Tables_number 216
_symmetry_space_group_name_Hall 'F -4 2 3'
loop_
_atom_site_label
_atom_site_fract_x
_atom_site_fract_y
_atom_site_fract_z
Ba1 0.000 0.000 0.000
Al1 0.250 0.250 0.250
Co1 0.000 0.000 0.500
Co2 0.250 0.250 0.750
# - VASP energy (eV/atom) = -19.65
# - formation enthalpy at 0 K (eV/atom) = 0.825